# 1
DFT (PBE) results for an optimized crystal structure of LiPmP2Pd5.

Calculated values
The energy of formation comes out at -0.72 eV per atom. The energy comes out at -49.96 eV/f.u. The calculation puts the magnetic moment at 0.00 μB/f.u.

```
LiPmP2Pd5
1.0
4.164 0.000 0.000
0.000 4.164 0.000
0.000 0.000 8.727
Li Pm P Pd
1 1 2 5
direct
0.000 0.000 0.000 Li
0.000 0.000 0.500 Pm
0.500 0.500 0.121 P
0.500 0.500 0.879 P
0.000 0.500 0.254 Pd
0.000 0.500 0.746 Pd
0.500 0.000 0.254 Pd
0.500 0.000 0.746 Pd
0.500 0.500 0.500 Pd
```



# 2
DFT (PBE) results for an optimized crystal structure of LiPmP2Pd.

Calculated values
The energy of formation comes out at -1.01 eV per atom. The energy comes out at -27.70 eV/f.u. The calculation puts the magnetic moment at 0.00 μB/f.u.

```
LiPmP2Pd
1.0
-2.020 2.020 5.116
2.020 -2.020 5.116
2.020 2.020 -5.116
Li Pm P Pd
1 1 2 1
direct
0.000 0.000 0.000 Li
0.750 0.250 0.500 Pm
0.140 0.640 0.500 P
0.360 0.860 0.500 P
0.500 0.500 0.000 Pd
```



# 3
DFT (PBE) results for an optimized crystal structure of Li2PrPPd2.

Calculated values
The energy of formation comes out at -0.48 eV per atom. The energy comes out at -27.26 eV/f.u. The calculation puts the magnetic moment at 0.00 μB/f.u.

```
Li2PrPPd2
1.0
4.406 0.000 0.000
0.000 4.406 0.000
0.000 0.000 5.727
Li Pr P Pd
2 1 1 2
direct
0.000 0.500 0.000 Li
0.500 0.000 0.000 Li
0.000 0.000 0.500 Pr
0.000 0.000 0.000 P
0.500 0.500 0.266 Pd
0.500 0.500 0.734 Pd
```



# 4
DFT (PBE) results for an optimized crystal structure of Li2PuP2Pd2.

Calculated values
The energy of formation comes out at -0.82 eV per atom. The energy comes out at -45.12 eV/f.u. The calculation puts the magnetic moment at 4.93 μB/f.u.

```
Li2PuP2Pd2
1.0
2.064 1.192 7.533
-2.064 1.192 7.533
0.000 -2.384 7.533
Li Pu P Pd
2 1 2 2
direct
0.143 0.143 0.143 Li
0.857 0.857 0.857 Li
0.000 0.000 0.000 Pu
0.256 0.256 0.256 P
0.744 0.744 0.744 P
0.428 0.428 0.428 Pd
0.572 0.572 0.572 Pd
```



# 5
DFT (PBE) results for an optimized crystal structure of RbLiP2Pd4.

Calculated values
The energy of formation comes out at -0.42 eV per atom. The energy comes out at -37.87 eV/f.u. The calculation puts the magnetic moment at 0.00 μB/f.u.

```
RbLiP2Pd4
1.0
4.052 0.000 0.000
0.000 4.052 0.000
0.000 0.000 9.944
Rb Li P Pd
1 1 2 4
direct
0.000 0.000 0.000 Rb
0.000 0.000 0.500 Li
0.500 0.500 0.221 P
0.500 0.500 0.779 P
0.000 0.500 0.335 Pd
0.000 0.500 0.665 Pd
0.500 0.000 0.335 Pd
0.500 0.000 0.665 Pd
```



# 6
DFT (PBE) results for an optimized crystal structure of RbLiPPd2.

Calculated values
The energy of formation comes out at -0.31 eV per atom. The energy comes out at -20.25 eV/f.u. The calculation puts the magnetic moment at 0.00 μB/f.u.

```
RbLiPPd2
1.0
4.695 0.000 0.000
0.000 4.695 0.000
0.000 0.000 4.941
Rb Li P Pd
1 1 1 2
direct
0.000 0.000 0.000 Rb
0.500 0.500 0.000 Li
0.500 0.500 0.500 P
0.000 0.500 0.500 Pd
0.500 0.000 0.500 Pd
```



# 7
DFT (PBE) results for an optimized crystal structure of RbLi2PPd.

Calculated values
The energy of formation comes out at -0.40 eV per atom. The energy comes out at -17.42 eV/f.u. The calculation puts the magnetic moment at 0.00 μB/f.u.

```
RbLi2PPd
1.0
4.873 0.000 0.000
0.000 4.873 0.000
0.000 0.000 4.737
Rb Li P Pd
1 2 1 1
direct
0.000 0.000 0.000 Rb
0.000 0.500 0.500 Li
0.500 0.000 0.500 Li
0.500 0.500 0.500 P
0.500 0.500 0.000 Pd
```



# 8
DFT (PBE) results for an optimized crystal structure of LiPPdRh.

Calculated values
The energy of formation comes out at -0.51 eV per atom. The energy comes out at -21.92 eV/f.u. The calculation puts the magnetic moment at 0.00 μB/f.u.

```
LiPPdRh
1.0
0.000 2.931 2.931
2.931 0.000 2.931
2.931 2.931 0.000
Li P Pd Rh
1 1 1 1
direct
0.000 0.000 0.000 Li
0.500 0.500 0.500 P
0.250 0.250 0.250 Pd
0.750 0.750 0.750 Rh
```



# 9
DFT (PBE) results for an optimized crystal structure of LiPPdRu.

Calculated values
The energy of formation comes out at -0.42 eV per atom. The energy comes out at -23.48 eV/f.u. The calculation puts the magnetic moment at 0.00 μB/f.u.

```
LiPPdRu
1.0
0.000 2.905 2.905
2.905 0.000 2.905
2.905 2.905 0.000
Li P Pd Ru
1 1 1 1
direct
0.000 0.000 0.000 Li
0.500 0.500 0.500 P
0.750 0.750 0.750 Pd
0.250 0.250 0.250 Ru
```



# 10
DFT (PBE) results for an optimized crystal structure of LiSi2PPd.

Calculated values
The energy comes out at -20.83 eV/f.u. As for the formation energy without anion corrections: 0.506 eV per atom. The calculation puts the magnetic moment at 0.00 μB/f.u.

```
LiSi2PPd
1.0
4.641 0.000 0.000
0.000 4.641 0.000
0.000 0.000 5.031
Li Si P Pd
1 2 1 1
direct
0.000 0.000 0.000 Li
0.000 0.500 0.500 Si
0.500 0.000 0.500 Si
0.500 0.500 0.000 P
0.500 0.500 0.500 Pd
```



# 11
DFT (PBE) results for an optimized crystal structure of LiSm2P3Pd4.

Calculated values
The energy of formation comes out at -0.96 eV per atom. The energy comes out at -57.94 eV/f.u. The calculation puts the magnetic moment at 0.00 μB/f.u.

```
LiSm2P3Pd4
1.0
4.166 0.000 0.000
0.000 4.166 0.000
0.000 0.000 9.898
Li Sm P Pd
1 2 3 4
direct
0.000 0.000 0.000 Li
0.000 0.500 0.743 Sm
0.500 0.000 0.257 Sm
0.000 0.500 0.359 P
0.500 0.000 0.641 P
0.500 0.500 0.000 P
0.000 0.000 0.500 Pd
0.000 0.500 0.122 Pd
0.500 0.000 0.878 Pd
0.500 0.500 0.500 Pd
```



# 12
DFT (PBE) results for an optimized crystal structure of Li2SmP2Pd2.

Calculated values
The energy of formation comes out at -0.96 eV per atom. The energy comes out at -36.48 eV/f.u. The calculation puts the magnetic moment at 0.00 μB/f.u.

```
Li2SmP2Pd2
1.0
2.072 1.196 7.673
-2.072 1.196 7.673
0.000 -2.393 7.673
Li Sm P Pd
2 1 2 2
direct
0.142 0.142 0.142 Li
0.858 0.858 0.858 Li
0.000 0.000 0.000 Sm
0.252 0.252 0.252 P
0.748 0.748 0.748 P
0.426 0.426 0.426 Pd
0.574 0.574 0.574 Pd
```



# 13
DFT (PBE) results for an optimized crystal structure of LiSmP2Pd5.

Calculated values
The energy of formation comes out at -0.73 eV per atom. The energy comes out at -50.01 eV/f.u. The calculation puts the magnetic moment at 0.00 μB/f.u.

```
LiSmP2Pd5
1.0
4.156 0.000 0.000
0.000 4.156 0.000
0.000 0.000 8.719
Li Sm P Pd
1 1 2 5
direct
0.000 0.000 0.000 Li
0.000 0.000 0.500 Sm
0.500 0.500 0.121 P
0.500 0.500 0.879 P
0.000 0.500 0.254 Pd
0.000 0.500 0.746 Pd
0.500 0.000 0.254 Pd
0.500 0.000 0.746 Pd
0.500 0.500 0.500 Pd
```



# 14
DFT (PBE) results for an optimized crystal structure of Li2Sn2PPd4.

Calculated values
The energy of formation comes out at -0.44 eV per atom. The energy comes out at -41.94 eV/f.u. The calculation puts the magnetic moment at 0.00 μB/f.u.

```
Li2Sn2PPd4
1.0
-3.072 3.072 4.007
3.072 -3.072 4.007
3.072 3.072 -4.007
Li Sn P Pd
2 2 1 4
direct
0.209 0.209 0.000 Li
0.791 0.791 0.000 Li
0.250 0.750 0.500 Sn
0.750 0.250 0.500 Sn
0.500 0.500 0.000 P
0.235 0.235 0.471 Pd
0.235 0.765 0.000 Pd
0.765 0.235 0.000 Pd
0.765 0.765 0.529 Pd
```



# 15
DFT (PBE) results for an optimized crystal structure of Sr2LiP3Pd4.

Calculated values
The energy of formation comes out at -0.82 eV per atom. The energy comes out at -50.50 eV/f.u. The calculation puts the magnetic moment at 0.00 μB/f.u.

```
Sr2LiP3Pd4
1.0
4.284 0.000 0.000
0.000 4.284 0.000
0.000 0.000 9.913
Sr Li P Pd
2 1 3 4
direct
0.000 0.500 0.249 Sr
0.500 0.000 0.751 Sr
0.500 0.500 0.000 Li
0.000 0.000 0.000 P
0.000 0.500 0.632 P
0.500 0.000 0.368 P
0.000 0.000 0.500 Pd
0.000 0.500 0.875 Pd
0.500 0.000 0.125 Pd
0.500 0.500 0.500 Pd
```



# 16
DFT (PBE) results for an optimized crystal structure of SrLiP2Pd4.

Calculated values
The energy of formation comes out at -0.60 eV per atom. The energy comes out at -40.01 eV/f.u. The calculation puts the magnetic moment at 0.00 μB/f.u.

```
SrLiP2Pd4
1.0
4.244 0.000 0.000
0.000 4.244 0.000
0.000 0.000 7.546
Sr Li P Pd
1 1 2 4
direct
0.000 0.000 0.000 Sr
0.000 0.000 0.500 Li
0.500 0.500 0.155 P
0.500 0.500 0.845 P
0.000 0.500 0.310 Pd
0.000 0.500 0.690 Pd
0.500 0.000 0.310 Pd
0.500 0.000 0.690 Pd
```



# 17
DFT (PBE) results for an optimized crystal structure of SrLiPPd2.

Calculated values
The energy of formation comes out at -0.67 eV per atom. The energy comes out at -22.73 eV/f.u. The calculation puts the magnetic moment at 0.00 μB/f.u.

```
SrLiPPd2
1.0
4.711 0.000 0.000
0.000 4.711 0.000
0.000 0.000 4.571
Sr Li P Pd
1 1 1 2
direct
0.000 0.000 0.000 Sr
0.500 0.500 0.000 Li
0.500 0.500 0.500 P
0.000 0.500 0.500 Pd
0.500 0.000 0.500 Pd
```



# 18
DFT (PBE) results for an optimized crystal structure of SrLiP2Pd5.

Calculated values
The energy of formation comes out at -0.58 eV per atom. The energy comes out at -45.60 eV/f.u. The calculation puts the magnetic moment at 0.00 μB/f.u.

```
SrLiP2Pd5
1.0
4.677 0.000 0.000
0.000 4.677 0.000
0.000 0.000 7.081
Sr Li P Pd
1 1 2 5
direct
0.000 0.000 0.000 Sr
0.000 0.000 0.500 Li
0.500 0.500 0.341 P
0.500 0.500 0.659 P
0.000 0.500 0.294 Pd
0.000 0.500 0.706 Pd
0.500 0.000 0.294 Pd
0.500 0.000 0.706 Pd
0.500 0.500 0.000 Pd
```



# 19
DFT (PBE) results for an optimized crystal structure of Li2TbP2Pd2.

Calculated values
The energy of formation comes out at -0.96 eV per atom. The energy comes out at -36.39 eV/f.u. The calculation puts the magnetic moment at 0.00 μB/f.u.

```
Li2TbP2Pd2
1.0
2.064 1.191 7.590
-2.064 1.191 7.590
0.000 -2.383 7.590
Li Tb P Pd
2 1 2 2
direct
0.142 0.142 0.142 Li
0.858 0.858 0.858 Li
0.000 0.000 0.000 Tb
0.254 0.254 0.254 P
0.746 0.746 0.746 P
0.425 0.425 0.425 Pd
0.575 0.575 0.575 Pd
```



# 20
DFT (PBE) results for an optimized crystal structure of LiTe2PPd.

Calculated values
The energy comes out at -16.24 eV/f.u. As for the formation energy without anion corrections: 0.513 eV per atom. The calculation puts the magnetic moment at 0.00 μB/f.u.

```
LiTe2PPd
1.0
5.046 0.000 0.000
0.000 5.046 0.000
0.000 0.000 4.210
Li Te P Pd
1 2 1 1
direct
0.000 0.000 0.000 Li
0.000 0.500 0.000 Te
0.500 0.000 0.000 Te
0.000 0.000 0.500 P
0.500 0.500 0.500 Pd
```